[1]
Here is a relaxed Mo2IrRu crystal from Alexandria via LeMat-Bulk. Energies are from PBE-GGA.

Lattice parameters (Å, degrees): 9.211 9.211 9.211 17.25 17.25 17.25
Element x y z (fractional)
Mo 0.000 0.000 0.000
Ir 0.750 0.750 0.750
Ru 0.250 0.250 0.250
Mo 0.500 0.500 0.500

Calculated values
- space group = No. 166
- relative energy among the computed polymorphs (eV per atom) = 0.148


[2]
Here is a relaxed MoIr4Ru2 crystal from Alexandria via LeMat-Bulk. Energies are from PBE-GGA.

Lattice parameters (Å, degrees): 4.370 4.721 10.505 90.00 90.00 90.00
Element x y z (fractional)
Mo 0.000 0.500 0.000
Ir 0.500 0.279 0.434
Mo 0.000 0.000 0.500
Ru 0.500 0.233 0.681
Ru 0.500 0.767 0.319
Ir 0.500 0.779 0.066
Ir 0.000 0.047 0.811
Ir 0.500 0.221 0.934
Ir 0.500 0.721 0.566
Ru 0.500 0.267 0.181
Ir 0.000 0.953 0.189
Ru 0.500 0.733 0.819
Ir 0.000 0.453 0.311
Ir 0.000 0.547 0.689

Calculated values
- space group = No. 55
- DFT total energy (eV per atom) = -8.96


[3]
Here is a relaxed MoIrRu3 crystal from Alexandria via LeMat-Bulk. Energies are from PBE-GGA.

Lattice parameters (Å, degrees): 5.250 5.250 5.112 59.10 59.10 60.00
Site moments in Bohr magnetons follow the coordinates.
Element x y z (fractional)
Ru 0.975 0.975 0.575  0.47
Ru 0.975 0.475 0.575  0.47
Mo 0.475 0.475 0.575  0.54
Ru 0.475 0.975 0.575  0.47
Ir 0.975 0.975 0.075  0.20

Calculated values
- space group = No. 166
- relative energy among the computed polymorphs (eV per atom) = 0.000


[4]
Here is a relaxed MoIr4Ru crystal from Alexandria via LeMat-Bulk. Energies are from PBE-GGA.

Lattice parameters (Å, degrees): 6.528 6.528 4.257 90.00 90.00 101.97
Element x y z (fractional)
Ir 0.742 0.599 0.750
Ru 0.927 0.073 0.250
Ir 0.337 0.995 0.250
Ir 0.258 0.401 0.250
Ir 0.401 0.258 0.750
Ir 0.005 0.663 0.250
Ru 0.073 0.927 0.750
Ir 0.995 0.337 0.750
Ir 0.599 0.742 0.250
Mo 0.332 0.668 0.750
Mo 0.668 0.332 0.250
Ir 0.663 0.005 0.750

Calculated values
- space group = No. 63
- relative energy among the computed polymorphs (eV per atom) = 0.000


[5]
Here is a relaxed Mo2IrRu crystal from Alexandria via LeMat-Bulk. Energies are from PBE-GGA.

Lattice parameters (Å, degrees): 3.869 3.933 7.864 90.00 90.00 90.00
Element x y z (fractional)
Ru 0.500 0.250 0.874
Mo 0.000 0.250 0.627
Mo 0.000 0.750 0.373
Ir 0.500 0.750 0.624
Ir 0.500 0.250 0.376
Ru 0.500 0.750 0.126
Mo 0.000 0.750 0.876
Mo 0.000 0.250 0.124

Calculated values
- space group = No. 51
- relative energy among the computed polymorphs (eV per atom) = 0.014


[6]
Here is a relaxed Mo2IrRu crystal from Alexandria via LeMat-Bulk. Energies are from PBE-GGA.

Lattice parameters (Å, degrees): 4.822 4.822 4.822 132.38 132.38 69.63
Element x y z (fractional)
Ir 0.750 0.250 0.500
Ru 0.500 0.500 0.000
Mo 0.000 0.000 0.000
Mo 0.250 0.750 0.500

Calculated values
- space group = No. 119
- relative energy among the computed polymorphs (eV per atom) = 0.074